Entry 1:
DFT (GGA-PBE) results for a relaxed CsAg2BO3 crystal.

```
14
Lattice="5.776 0.000 0.000 0.000 6.391 0.000 0.000 0.000 5.810" Properties=species:S:1:pos:R:3 pbc="T T T"
Ag 2.888 1.470 0.854
Ag 2.888 4.921 0.854
Ag 0.000 1.726 4.956
Ag 0.000 4.665 4.956
B 0.000 3.195 1.657
B 2.888 0.000 4.154
Cs 0.000 0.000 2.112
Cs 2.888 3.195 3.699
O 1.196 3.195 0.908
O 4.579 3.195 0.908
O 2.888 0.000 2.786
O 0.000 3.195 3.024
O 1.692 0.000 4.903
O 4.084 0.000 4.903
```

Results
- VASP energy: -5.15 eV per atom



Entry 2:
DFT (GGA-PBE) results for a relaxed Pm2ErO4 crystal.

```
14
Lattice="-6.737 -1.437 0.108 2.120 6.527 -0.600 0.855 -4.393 -5.237" Properties=species:S:1:pos:R:3 pbc="T T T"
Er 0.000 0.000 0.000
Er -3.779 1.088 -1.528
O 1.047 3.075 -2.409
O -3.355 -0.936 -2.052
O -2.283 2.364 -2.356
O 0.009 -0.197 -2.124
O -2.933 -3.108 -4.641
O 1.479 0.858 -5.009
O -1.851 0.147 -4.956
O 0.431 -2.369 -4.713
Pm -0.830 3.808 -1.064
Pm -1.462 -1.653 -3.383
Pm -4.830 -2.371 -3.329
Pm -0.402 1.611 -3.682
```

Results
- Total magnetic moment: 0.004 μB/atom
- VASP energy: -7.98 eV per atom